[1]
# LuInTe3Pb

LuInTe3Pb after structural relaxation (GGA-PBE, the Open Quantum Materials Database).

## Properties
Electronic total energy = -3.94 eV per atom
Space-group type = No. 63

abc: 7.8032 7.8032 11.3525
angles: 90.00 90.00 147.14
Fractional coordinates of all 12 atoms:
In: 0.9544 0.0456 0.2500
In: 0.0456 0.9544 0.7500
Lu: 0.5000 0.5000 0.0000
Lu: 0.5000 0.5000 0.5000
Pb: 0.2563 0.7437 0.2500
Pb: 0.7437 0.2563 0.7500
Te: 0.8557 0.1443 0.0229
Te: 0.5949 0.4051 0.2500
Te: 0.8557 0.1443 0.4771
Te: 0.1443 0.8557 0.5229
Te: 0.4051 0.5949 0.7500
Te: 0.1443 0.8557 0.9771

---

[2]
# Lu5In4Pd2

Lu5In4Pd2 after structural relaxation (GGA-PBE, the Open Quantum Materials Database).

## Properties
Electronic total energy = -4.67 eV per atom
Space-group type = No. 55

abc: 17.9387 7.9594 3.5767
angles: 90.00 90.00 90.00
Fractional coordinates of all 22 atoms:
In: 0.8516 0.0848 0.5000
In: 0.5681 0.2146 0.5000
In: 0.0681 0.2854 0.5000
In: 0.3516 0.4152 0.5000
In: 0.6484 0.5848 0.5000
In: 0.9319 0.7146 0.5000
In: 0.4319 0.7854 0.5000
In: 0.1484 0.9152 0.5000
Lu: 0.0000 0.0000 0.0000
Lu: 0.4177 0.1128 0.0000
Lu: 0.2202 0.2362 0.0000
Lu: 0.7202 0.2638 0.0000
Lu: 0.9177 0.3872 0.0000
Lu: 0.5000 0.5000 0.0000
Lu: 0.0823 0.6128 0.0000
Lu: 0.2798 0.7362 0.0000
Lu: 0.7798 0.7638 0.0000
Lu: 0.5823 0.8872 0.0000
Pd: 0.3047 0.0217 0.5000
Pd: 0.8047 0.4783 0.5000
Pd: 0.1953 0.5217 0.5000
Pd: 0.6953 0.9783 0.5000

---

[3]
# Lu2In8Pd

Lu2In8Pd after structural relaxation (GGA-PBE, the Open Quantum Materials Database).

## Properties
Electronic total energy = -3.63 eV per atom
Space-group type = No. 123

abc: 4.6627 4.6627 12.0275
angles: 90.00 90.00 90.00
Fractional coordinates of all 11 atoms:
In: 0.5000 0.0000 0.1288
In: 0.0000 0.5000 0.1288
In: 0.5000 0.5000 0.3102
In: 0.5000 0.0000 0.5000
In: 0.0000 0.5000 0.5000
In: 0.5000 0.5000 0.6898
In: 0.5000 0.0000 0.8712
In: 0.0000 0.5000 0.8712
Lu: 0.0000 0.0000 0.3133
Lu: 0.0000 0.0000 0.6867
Pd: 0.0000 0.0000 0.0000

---

[4]
# Lu2InPd

Lu2InPd after structural relaxation (GGA-PBE, the Open Quantum Materials Database).

## Properties
Electronic total energy = -4.60 eV per atom
Space-group type = No. 216

abc: 4.9760 4.9760 4.9760
angles: 60.00 60.00 60.00
Each line ends with the local moment (μB).
Fractional coordinates of all 4 atoms:
In: 0.5000 0.5000 0.5000  0.02
Lu: 0.0000 0.0000 0.0000  0.25
Lu: 0.7500 0.7500 0.7500  0.35
Pd: 0.2500 0.2500 0.2500  0.09

---

[5]
# Lu2Sc2In5Pd2

Lu2Sc2In5Pd2 after structural relaxation (GGA-PBE, the Open Quantum Materials Database).

## Properties
Electronic total energy = -4.76 eV per atom
Space-group type = No. 10

abc: 7.6509 3.4129 9.4840
angles: 90.00 94.47 90.00
Fractional coordinates of all 11 atoms:
In: 0.4569 0.0000 0.1758
In: 0.8499 0.0000 0.3676
In: 0.5000 0.0000 0.5000
In: 0.1501 0.0000 0.6324
In: 0.5431 0.0000 0.8242
Lu: 0.7801 0.5000 0.0687
Lu: 0.2199 0.5000 0.9313
Pd: 0.0772 0.0000 0.1405
Pd: 0.9228 0.0000 0.8595
Sc: 0.1927 0.5000 0.3544
Sc: 0.8073 0.5000 0.6456

---

[6]
# LuSc2In3Pd2

LuSc2In3Pd2 after structural relaxation (GGA-PBE, the Open Quantum Materials Database).

## Properties
Electronic total energy = -5.16 eV per atom
Space-group type = No. 38

abc: 3.4376 7.5403 7.5403
angles: 119.90 90.00 90.00
Fractional coordinates of all 8 atoms:
In: 0.5000 0.9956 0.2353
In: 0.5000 0.7690 0.7690
In: 0.5000 0.2353 0.9956
Lu: 0.0000 0.4174 0.4174
Pd: 0.5000 0.6696 0.3320
Pd: 0.5000 0.3320 0.6696
Sc: 0.0000 0.9995 0.5816
Sc: 0.0000 0.5816 0.9995

---

[7]
# TmLu2In3Pd2

TmLu2In3Pd2 after structural relaxation (GGA-PBE, the Open Quantum Materials Database).

## Properties
Electronic total energy = -4.74 eV per atom
Space-group type = No. 38

abc: 3.5907 7.6201 7.6201
angles: 120.02 90.00 90.00
Fractional coordinates of all 8 atoms:
In: 0.5000 0.7665 0.0001
In: 0.5000 0.2334 0.2334
In: 0.5000 0.0001 0.7665
Lu: 0.0000 0.4180 0.0000
Lu: 0.0000 0.0000 0.4180
Pd: 0.5000 0.6668 0.3331
Pd: 0.5000 0.3331 0.6668
Tm: 0.0000 0.5821 0.5821

---

[8]
# Tm2Lu2In5Pd2

Tm2Lu2In5Pd2 after structural relaxation (GGA-PBE, the Open Quantum Materials Database).

## Properties
Electronic total energy = -4.43 eV per atom
Space-group type = No. 10

abc: 7.7151 3.5152 9.5984
angles: 90.00 94.42 90.00
Fractional coordinates of all 11 atoms:
In: 0.4579 0.0000 0.1716
In: 0.8375 0.0000 0.3570
In: 0.5000 0.0000 0.5000
In: 0.1625 0.0000 0.6430
In: 0.5421 0.0000 0.8284
Lu: 0.7808 0.5000 0.0652
Lu: 0.2192 0.5000 0.9348
Pd: 0.0753 0.0000 0.1371
Pd: 0.9247 0.0000 0.8630
Tm: 0.1868 0.5000 0.3555
Tm: 0.8132 0.5000 0.6445

---

[9]
# PrLuIn

PrLuIn after structural relaxation (GGA-PBE, the Open Quantum Materials Database).

## Properties
Offset from the most stable computed form = 0.0 meV per atom
Electronic total energy = -4.09 eV per atom
Space-group type = No. 216

abc: 5.2338 5.2338 5.2338
angles: 60.00 60.00 60.00
Fractional coordinates of all 3 atoms:
In: 0.0000 0.0000 0.0000
Lu: 0.2500 0.2500 0.2500
Pr: 0.7500 0.7500 0.7500

---

[10]
# PrLuIn2Pt4

PrLuIn2Pt4 after structural relaxation (GGA-PBE, the Open Quantum Materials Database).

## Properties
Electronic total energy = -5.80 eV per atom
Space-group type = No. 187

abc: 4.5956 4.5956 9.1503
angles: 90.00 90.00 120.00
Fractional coordinates of all 8 atoms:
In: 0.3333 0.6667 0.2436
In: 0.3333 0.6667 0.7564
Lu: 0.0000 0.0000 0.0000
Pr: 0.6667 0.3333 0.5000
Pt: 0.6667 0.3333 0.1517
Pt: 0.0000 0.0000 0.3294
Pt: 0.0000 0.0000 0.6706
Pt: 0.6667 0.3333 0.8483

---

[11]
# LuInPt

LuInPt after structural relaxation (GGA-PBE, the Open Quantum Materials Database).

## Properties
Electronic total energy = -5.32 eV per atom
Space-group type = No. 194

abc: 4.7032 4.7032 6.5274
angles: 90.00 90.00 120.00
Fractional coordinates of all 6 atoms:
In: 0.6667 0.3333 0.2500
In: 0.3333 0.6667 0.7500
Lu: 0.0000 0.0000 0.0000
Lu: 0.0000 0.0000 0.5000
Pt: 0.3333 0.6667 0.2500
Pt: 0.6667 0.3333 0.7500

---

[12]
# LuInPt

LuInPt after structural relaxation (GGA-PBE, the Open Quantum Materials Database).

## Properties
Electronic total energy = -4.92 eV per atom
Space-group type = No. 189

abc: 8.1594 8.1594 3.2447
angles: 90.00 90.00 120.00
Fractional coordinates of all 9 atoms:
In: 0.6667 0.3333 0.0000
In: 0.3333 0.6667 0.0000
In: 0.0000 0.0000 0.5000
Lu: 0.2994 0.0000 0.0000
Lu: 0.0000 0.2994 0.0000
Lu: 0.7006 0.7006 0.0000
Pt: 0.6361 0.0000 0.5000
Pt: 0.3639 0.3639 0.5000
Pt: 0.0000 0.6361 0.5000

---

[13]
# LuInPt

LuInPt after structural relaxation (GGA-PBE, the Open Quantum Materials Database).

## Properties
Electronic total energy = -5.14 eV per atom
Space-group type = No. 189

abc: 7.1842 7.1842 4.2262
angles: 90.00 90.00 120.00
Fractional coordinates of all 9 atoms:
In: 0.6667 0.3333 0.0000
In: 0.3333 0.6667 0.0000
In: 0.0000 0.0000 0.5000
Lu: 0.5693 0.0000 0.5000
Lu: 0.4307 0.4307 0.5000
Lu: 0.0000 0.5693 0.5000
Pt: 0.2489 0.0000 0.0000
Pt: 0.0000 0.2489 0.0000
Pt: 0.7511 0.7511 0.0000

---

[14]
# LuInPt

LuInPt after structural relaxation (GGA-PBE, the Open Quantum Materials Database).

## Properties
Electronic total energy = -4.89 eV per atom
Space-group type = No. 194

abc: 4.9148 4.9148 5.9171
angles: 90.00 90.00 120.00
Fractional coordinates of all 6 atoms:
In: 0.3333 0.6667 0.2500
In: 0.6667 0.3333 0.7500
Lu: 0.6667 0.3333 0.2500
Lu: 0.3333 0.6667 0.7500
Pt: 0.0000 0.0000 0.0000
Pt: 0.0000 0.0000 0.5000

---

[15]
# LuInPt2

LuInPt2 after structural relaxation (GGA-PBE, the Open Quantum Materials Database).

## Properties
Electronic total energy = -5.80 eV per atom
Space-group type = No. 225

abc: 4.7486 4.7486 4.7486
angles: 60.00 60.00 60.00
Fractional coordinates of all 4 atoms:
In: 0.0000 0.0000 0.0000
Lu: 0.5000 0.5000 0.5000
Pt: 0.2500 0.2500 0.2500
Pt: 0.7500 0.7500 0.7500

---

[16]
# LuInPt

LuInPt after structural relaxation (GGA-PBE, the Open Quantum Materials Database).

## Properties
Electronic total energy = -5.42 eV per atom
Space-group type = No. 189

abc: 7.4285 7.4285 3.9644
angles: 90.00 90.00 120.00
Fractional coordinates of all 9 atoms:
In: 0.2575 0.0000 0.0000
In: 0.0000 0.2575 0.0000
In: 0.7425 0.7425 0.0000
Lu: 0.5918 0.0000 0.5000
Lu: 0.4082 0.4082 0.5000
Lu: 0.0000 0.5918 0.5000
Pt: 0.6667 0.3333 0.0000
Pt: 0.3333 0.6667 0.0000
Pt: 0.0000 0.0000 0.5000

---

[17]
# LuInPt

LuInPt after structural relaxation (GGA-PBE, the Open Quantum Materials Database).

## Properties
Electronic total energy = -5.40 eV per atom
Space-group type = No. 62

abc: 6.9132 4.4726 8.2718
angles: 90.00 90.00 90.00
Fractional coordinates of all 12 atoms:
In: 0.1492 0.2500 0.0642
In: 0.6492 0.2500 0.4358
In: 0.3508 0.7500 0.5642
In: 0.8508 0.7500 0.9358
Lu: 0.4732 0.7500 0.1791
Lu: 0.9732 0.7500 0.3209
Lu: 0.0268 0.2500 0.6791
Lu: 0.5268 0.2500 0.8209
Pt: 0.7404 0.2500 0.1143
Pt: 0.2404 0.2500 0.3857
Pt: 0.7596 0.7500 0.6143
Pt: 0.2596 0.7500 0.8857

---

[18]
# LuInPt2

LuInPt2 after structural relaxation (GGA-PBE, the Open Quantum Materials Database).

## Properties
Electronic total energy = -5.48 eV per atom
Space-group type = No. 216

abc: 4.7397 4.7397 4.7397
angles: 60.00 60.00 60.00
Fractional coordinates of all 4 atoms:
In: 0.5000 0.5000 0.5000
Lu: 0.2500 0.2500 0.2500
Pt: 0.0000 0.0000 0.0000
Pt: 0.7500 0.7500 0.7500

---

[19]
# LuInPt

LuInPt after structural relaxation (GGA-PBE, the Open Quantum Materials Database).

## Properties
Electronic total energy = -5.32 eV per atom
Space-group type = No. 186

abc: 4.7001 4.7001 6.5398
angles: 90.00 90.00 120.00
Fractional coordinates of all 6 atoms:
In: 0.3333 0.6667 0.4935
In: 0.6667 0.3333 0.9935
Lu: 0.0000 0.0000 0.2475
Lu: 0.0000 0.0000 0.7475
Pt: 0.3333 0.6667 0.0089
Pt: 0.6667 0.3333 0.5089

---

[20]
# Lu2InPt

Lu2InPt after structural relaxation (GGA-PBE, the Open Quantum Materials Database).

## Properties
Electronic total energy = -4.92 eV per atom
Space-group type = No. 216

abc: 4.9487 4.9487 4.9487
angles: 60.00 60.00 60.00
Each line ends with the local moment (μB).
Fractional coordinates of all 4 atoms:
In: 0.5000 0.5000 0.5000  0.03
Lu: 0.0000 0.0000 0.0000  0.26
Lu: 0.7500 0.7500 0.7500  0.43
Pt: 0.2500 0.2500 0.2500  0.12